A relaxed Tb2Pr3Mg2 crystal. Source: Alexandria via LeMat-Bulk, functional PBE-GGA.

- Energy of formation: 0.0458 eV per atom

Structure (POSCAR):
```
Tb2Pr3Mg2
1.0
3.834 0.000 0.000
0.000 31.376 0.000
0.000 0.000 3.730
Tb Pr Mg
4 6 4
Cartesian
0.000 6.451 0.000 Tb
0.000 24.925 0.000 Tb
1.917 9.237 0.000 Tb
1.917 22.139 0.000 Tb
0.000 2.605 0.000 Pr
0.000 15.688 1.865 Pr
0.000 28.771 0.000 Pr
1.917 0.000 1.865 Pr
1.917 13.083 0.000 Pr
1.917 18.294 0.000 Pr
0.000 11.083 1.865 Mg
0.000 20.293 1.865 Mg
1.917 4.605 1.865 Mg
1.917 26.771 1.865 Mg
```

---

A relaxed PrTiS3 crystal. Source: Alexandria via LeMat-Bulk, functional PBE-GGA.

- Energy relative to the elements, uncorrected: -39.3 kcal/mol of atoms
- E above lowest polymorph: 0.0 meV/atom

Structure (POSCAR):
```
PrTiS3
1.0
7.958 0.000 0.000
0.000 3.759 0.000
0.000 0.000 13.326
Pr Ti S
4 4 12
Cartesian
0.644 0.940 2.275 Pr
3.335 2.819 8.938 Pr
4.623 0.940 4.388 Pr
7.314 2.819 11.051 Pr
1.167 2.819 6.009 Ti
2.812 0.940 12.672 Ti
5.146 2.819 0.654 Ti
6.791 0.940 7.318 Ti
0.201 2.819 8.187 S
1.289 2.819 0.103 S
1.597 0.940 10.512 S
2.382 2.819 3.849 S
2.690 0.940 6.766 S
3.778 0.940 1.524 S
4.180 2.819 11.802 S
5.268 2.819 6.560 S
5.576 0.940 9.478 S
6.361 2.819 2.814 S
6.669 0.940 13.223 S
7.757 0.940 5.139 S
```

---

A relaxed LaDyY2As4 crystal. Source: Alexandria via LeMat-Bulk, functional PBE-GGA.

- Energy of formation: -1.5424 eV per atom

Structure (POSCAR):
```
LaDyY2As4
1.0
7.251 0.000 0.000
0.000 4.191 0.000
-2.414 0.000 6.838
La Dy Y As
1 1 2 4
Cartesian
0.000 0.000 0.000 La
-1.207 2.095 3.419 Dy
2.418 0.000 3.419 Y
3.625 2.095 0.000 Y
0.040 0.000 5.096 As
1.249 2.095 1.770 As
3.588 2.095 5.068 As
4.797 0.000 1.742 As
```